Below is a geometry-optimized SeO2 structure, with properties calculated at the GGA-PBEsol level.

Output
symmetry: No. 135
formation energy from raw total energies: -0.6975 eV per atom
DOS(E_F): 0.0 states/eV/cell

extended XYZ file:
```
24
Lattice="5.0745 0.0000 0.0000 0.0000 8.3011 0.0000 0.0000 0.0000 8.3011" Properties=species:S:1:pos:R:3 pbc="T T T"
O 1.2686 3.0216 7.1722
O 1.2686 7.1722 5.2795
O 0.0000 0.5203 6.8604
O 3.8058 5.2795 1.1289
O 2.5372 2.7099 4.6708
O 0.0000 4.6708 5.5912
O 1.2686 5.2795 1.1289
O 2.5372 6.8604 7.7808
O 0.0000 7.7808 1.4407
O 0.0000 3.6303 2.7099
O 3.8058 3.0216 7.1722
O 3.8058 7.1722 5.2795
O 2.5372 5.5912 3.6303
O 2.5372 1.4407 0.5203
O 3.8058 1.1289 3.0216
O 1.2686 1.1289 3.0216
Se 0.0000 1.1120 1.7198
Se 2.5372 6.5813 1.1120
Se 2.5372 5.8703 5.2626
Se 2.5372 1.7198 7.1891
Se 0.0000 5.2626 2.4308
Se 0.0000 3.0385 5.8703
Se 0.0000 7.1891 6.5813
Se 2.5372 2.4308 3.0385
```



Below is a geometry-optimized Sm4Si2Se3O7 structure, with properties calculated at the GGA-PBEsol level.

Output
symmetry: No. 141
formation energy from raw total energies: -2.8417 eV per atom
DOS(E_F): 0.0 states/eV/cell

extended XYZ file:
```
64
Lattice="11.0078 0.0044 0.0069 -4.5463 10.0251 -0.0069 -4.5463 -4.1672 9.1180" Properties=species:S:1:pos:R:3 pbc="T T T"
Si -0.2182 7.2368 5.4005
Si 8.2211 0.0306 1.9922
Si -6.3059 4.0626 8.2633
Si 2.1334 3.9526 0.2925
Si -1.1758 2.5267 1.9853
Si -1.8291 8.2746 3.1256
Si 3.0910 5.1048 5.9952
Si 3.7443 6.4531 0.2925
O 1.7209 4.2654 6.3212
O 9.3747 -0.9503 2.6206
O 2.3314 3.5873 1.8785
O 0.1942 1.8817 2.6137
O 4.1588 6.4238 1.8785
O -4.9308 3.1767 8.5265
O -0.4162 5.6422 5.0746
O 5.6982 -1.9489 5.0815
O -2.2436 6.8195 2.4940
O 6.8460 -0.5766 2.6889
O 0.5731 2.8930 8.7137
O 4.3126 -2.7783 7.0641
O -1.1914 4.0298 2.6820
O -5.8915 5.5177 8.8949
O 3.2890 6.6994 6.3212
O 1.3421 -0.8646 2.8693
O 3.1065 5.0948 4.3385
O -1.3738 2.8919 0.3993
O 3.0696 -1.9776 4.7239
O 3.8708 -0.7717 2.5009
O 7.8067 0.0599 0.4062
O -1.1544 0.7437 8.9565
O -2.3974 -1.7177 8.7137
O -7.4595 3.0837 8.8949
O -6.6584 4.2896 6.6719
O -1.9556 3.2667 8.7820
O -3.7830 0.4303 8.7820
O -2.4343 1.5683 2.4392
Se 4.6458 0.5550 7.0235
Se -3.1313 5.5654 7.0166
Se 2.7733 1.7614 4.3791
Se 0.9576 6.4793 2.2778
Se 0.0000 0.0000 0.0000
Se 5.0465 1.7886 1.1423
Se -2.7306 -0.2973 5.6979
Se 6.9190 4.6951 1.1423
Se -0.8581 2.6093 5.6979
Se 0.9576 -0.6169 6.8402
Se -4.5463 2.9290 4.5555
Se -5.0038 6.7718 4.3723
Sm -0.3187 4.8482 7.5406
Sm 0.9576 4.0259 3.8551
Sm 2.2339 1.0141 1.5773
Sm 2.1291 2.0301 7.2182
Sm -1.2763 5.4651 0.7004
Sm -4.5463 7.5718 1.5705
Sm 2.8835 -1.8577 8.6494
Sm -2.6204 5.0899 4.1776
Sm -4.5463 -1.7139 7.5406
Sm -3.3748 2.1742 7.1206
Sm 5.2900 0.2864 4.1845
Sm 0.9576 8.9326 0.7004
Sm -0.9683 -2.7779 7.2182
Sm 4.5356 4.1742 2.7533
Sm 3.1915 7.4934 3.8551
Sm -0.2140 0.1378 4.2751
```



Below is a geometry-optimized Tb2SiSeO4 structure, with properties calculated at the GGA-PBEsol level.

Output
symmetry: No. 57
formation energy from raw total energies: -3.0649 eV per atom
DOS(E_F): 0.0 states/eV/cell

extended XYZ file:
```
32
Lattice="-3.8935 3.9554 -2.2694 -2.6420 -4.9369 -4.0719 -7.0511 -2.5454 7.6610" Properties=species:S:1:pos:R:3 pbc="T T T"
O -4.5454 -0.4332 2.6728
O -7.0288 1.4863 -0.2967
O -9.0321 -3.5020 5.0219
O -5.2143 2.1414 -2.2682
O -6.5578 -5.0131 1.6164
O -5.9748 -2.3983 1.7002
O -8.6895 0.9628 1.6399
O -8.3723 -5.6681 3.5878
O -10.5040 0.3078 3.6114
O -3.0826 -3.8346 -2.2918
O -7.6118 -1.1285 -0.3805
O -4.5545 -0.0248 -3.7023
O -4.8972 -4.4896 -0.3203
O -1.4881 0.6704 -0.6489
O -9.0412 -3.0935 -1.3532
O -12.0985 -4.1972 1.9686
Tb -7.0431 -3.7126 3.5314
Tb -2.3520 -0.2619 1.4974
Tb -11.2346 -3.2649 -0.1777
Tb -3.5119 -2.1479 -3.9460
Tb -6.5435 0.1858 -2.2117
Tb -3.0236 1.1665 -2.3954
Tb -7.0374 -3.4206 -0.1155
Tb -6.5492 -0.1062 1.4351
Si -1.0954 -0.7924 -1.2715
Si -5.4401 -0.1890 -5.0699
Si -8.9657 -1.4617 -1.2394
Si -4.6210 -2.0651 2.5590
Se -4.4000 -0.8503 -0.5832
Se -7.2406 -0.8430 4.3030
Se -9.1866 -2.6765 1.9028
Se -6.3460 -2.6838 -2.9834
```



Number 1: spin magnetization 0.0 μB/cell. Number 2: spin magnetization 0.0 μB/cell. Number 3: spin magnetization 0.0 μB/cell.